# ReP2Pt

A geometry-optimized ReP2Pt structure (PBE-GGA, Alexandria).

Cell and atoms, written as extended XYZ:
```
4
Lattice="3.799 -1.543 0.000 3.799 1.543 0.000 -0.131 0.000 5.400" Properties=species:S:1:pos:R:3 pbc="T T T"
Re 0.000 0.000 0.000
P 2.124 0.000 0.960
P 4.547 0.000 3.833
Pt 6.632 0.000 2.675
```

Values from the calculation:
energy relative to the elements: -0.220 eV/atom
energy above the lowest structure with this stoichiometry: 0 kJ/mol of formula units
space-group type: Cm
energy: -7.547 eV/atom